Density functional theory data (PBE with a Hubbard U) for a geometry-optimized KCrI2O structure.

Cell and atoms, written as CIF:
```
data_KCrI2O
_chemical_formula_sum 'K1 Cr1 I2 O1'
_cell_length_a 6.0866
_cell_length_b 6.0866
_cell_length_c 3.7706
_cell_angle_alpha 90.00
_cell_angle_beta 90.00
_cell_angle_gamma 90.00
_symmetry_space_group_name_H-M 'P 4/m m m'
_symmetry_Int_Tables_number 123
_symmetry_space_group_name_Hall '-P 4 2'
loop_
_atom_site_label
_atom_site_type_symbol
_atom_site_fract_x
_atom_site_fract_y
_atom_site_fract_z
_atom_site_occupancy
K1 K 0.0000 0.0000 0.0000 1
Cr1 Cr 0.5000 0.5000 0.5000 1
I1 I 0.0000 0.5000 0.5000 1
O1 O 0.5000 0.5000 0.0000 1
```

Results
Uncorrected energy in eV per atom: -4.338
Relative energy among the computed polymorphs in meV per atom: 0